No. 1
An optimized crystal structure of Ti2V3Si4, computed with PBE-GGA.

Unit cell a=6.3422 b=6.4775 c=6.4680 alpha=90.00 beta=90.00 gamma=109.73
Closest atoms and distances in Å follow each position.
Positions (direct):
V1 0.2455 0.2523 0.6760  6 Si 2.39-2.53
V2 0.5000 0.5000 0.0000  6 Si 2.50-2.59
V3 0.7455 0.2523 0.8240  6 Si 2.39-2.53
V4 0.7545 0.7477 0.3240  6 Si 2.39-2.53
V5 0.0000 0.5000 0.5000  6 Si 2.50-2.59
V6 0.2545 0.7477 0.1760  6 Si 2.39-2.53
Si1 0.3529 0.0770 0.9646  4 V 2.40-2.59, 1 Si 2.44, 2 Ti 2.58-2.68
Si2 0.6471 0.9230 0.0354  4 V 2.40-2.59, 1 Si 2.44, 2 Ti 2.58-2.68
Si3 0.8663 0.4885 0.1299  1 Si 2.36, 5 V 2.39-2.53, 2 Ti 2.60-2.64
Si4 0.1471 0.9230 0.4646  4 V 2.40-2.59, 1 Si 2.44, 2 Ti 2.58-2.68
Si5 0.1337 0.5115 0.8701  1 Si 2.36, 5 V 2.39-2.53, 2 Ti 2.60-2.64
Si6 0.3663 0.4885 0.3701  1 Si 2.36, 5 V 2.39-2.53, 2 Ti 2.60-2.64
Si7 0.8529 0.0770 0.5354  4 V 2.40-2.59, 1 Si 2.44, 2 Ti 2.58-2.68
Si8 0.6337 0.5115 0.6299  1 Si 2.36, 5 V 2.39-2.53, 2 Ti 2.60-2.64
Ti1 0.4423 0.8129 0.6692  7 Si 2.58-2.78
Ti2 0.5577 0.1871 0.3308  7 Si 2.58-2.78
Ti3 0.9423 0.8129 0.8308  7 Si 2.58-2.78
Ti4 0.0577 0.1871 0.1692  7 Si 2.58-2.78

Computed properties:
- symmetry = No. 14



No. 2
An optimized crystal structure of Zr6Pd3Au, computed with PBE-GGA.

Unit cell a=7.7772 b=6.4081 c=8.3288 alpha=90.00 beta=88.91 gamma=90.00
Closest atoms and distances in Å follow each position.
Positions (direct):
Au1 0.0000 0.0000 0.0000  4 Zr 2.81-2.84, 2 Pd 2.87
Au2 0.5000 0.5000 0.5000  4 Zr 2.81-2.84, 2 Pd 2.87
Pd1 0.0000 0.0000 0.5000  4 Zr 2.70-2.77, 2 Pd 2.84
Pd2 0.5539 0.7974 0.7520  5 Zr 2.73-2.91, 1 Pd 2.84, 1 Au 2.87
Pd3 0.0539 0.7026 0.2520  5 Zr 2.73-2.91, 1 Pd 2.84, 1 Au 2.87
Pd4 0.9461 0.2974 0.7480  5 Zr 2.73-2.91, 1 Pd 2.84, 1 Au 2.87
Pd5 0.4461 0.2026 0.2480  5 Zr 2.73-2.91, 1 Pd 2.84, 1 Au 2.87
Pd6 0.5000 0.5000 0.0000  4 Zr 2.70-2.77, 2 Pd 2.84
Zr1 0.7093 0.8278 0.2518  1 Pd 2.80, 2 Zr 3.05-3.10
Zr2 0.3389 0.8764 0.0647  3 Pd 2.73-2.91, 1 Au 2.81
Zr3 0.1611 0.3764 0.4353  3 Pd 2.73-2.91, 1 Au 2.81
Zr4 0.8389 0.6236 0.5647  3 Pd 2.73-2.91, 1 Au 2.81
Zr5 0.3286 0.8824 0.4406  3 Pd 2.70-2.91, 1 Au 2.84
Zr6 0.2093 0.6722 0.7518  1 Pd 2.80, 2 Zr 3.05-3.10
Zr7 0.6611 0.1236 0.9353  3 Pd 2.73-2.91, 1 Au 2.81
Zr8 0.6714 0.1176 0.5594  3 Pd 2.70-2.91, 1 Au 2.84
Zr9 0.2907 0.1722 0.7482  1 Pd 2.80, 2 Zr 3.05-3.10
Zr10 0.1714 0.3824 0.0594  3 Pd 2.70-2.91, 1 Au 2.84
Zr11 0.8286 0.6176 0.9406  3 Pd 2.70-2.91, 1 Au 2.84
Zr12 0.7907 0.3278 0.2482  1 Pd 2.80, 2 Zr 3.05-3.10

Computed properties:
- energy of formation from the pure elements (eV/atom) = -0.28
- symmetry = No. 14



Number 1: energy -7.922 eV per atom, magnetic moment 0.00 μB/cell. Number 2: energy -7.299 eV per atom, magnetic moment 0.00 μB/cell.